1.
First-principles (SCAN) data for a PBEsol-optimized structure of Co4As3, as listed in Alexandria.

CIF file:
```
data_Co4As3
_chemical_formula_sum 'Co4 As3'
_space_group_name_H-M_alt 'P 1'
_space_group_IT_number 1
_space_group_name_Hall 'P 1'
_cell_length_a 4.237
_cell_length_b 5.147
_cell_length_c 5.147
_cell_angle_alpha 120.00
_cell_angle_beta 90.00
_cell_angle_gamma 90.00
loop_
_atom_site_label
_atom_site_fract_x
_atom_site_fract_y
_atom_site_fract_z
Co1 0.253 0.000 0.000
Co2 0.500 0.667 0.333
Co3 0.747 0.000 0.000
As1 0.000 0.000 0.500
Co4 0.500 0.333 0.667
As2 0.000 0.500 0.000
As3 0.000 0.500 0.500
```

Calculated values
Raw total energy, eV per atom: -17.77
Energy relative to the elements, meV per atom: 771

2.
First-principles (SCAN) data for a PBEsol-optimized structure of LaPRu2, as listed in Alexandria.

CIF file:
```
data_LaPRu2
_chemical_formula_sum 'La2 P2 Ru4'
_space_group_name_H-M_alt 'P 1'
_space_group_IT_number 1
_space_group_name_Hall 'P 1'
_cell_length_a 4.035
_cell_length_b 4.113
_cell_length_c 8.766
_cell_angle_alpha 76.43
_cell_angle_beta 90.00
_cell_angle_gamma 90.00
loop_
_atom_site_label
_atom_site_fract_x
_atom_site_fract_y
_atom_site_fract_z
Ru1 0.250 0.249 0.501
Ru2 0.750 0.751 0.499
Ru3 0.250 0.541 0.918
P1 0.750 0.319 0.361
La1 0.750 0.100 0.801
Ru4 0.750 0.459 0.082
P2 0.250 0.681 0.639
La2 0.250 0.900 0.199
```

Calculated values
Raw total energy, eV per atom: -31.63
Energy relative to the elements, meV per atom: -837

3.
First-principles (SCAN) data for a PBEsol-optimized structure of YZn2CuMo, as listed in Alexandria.

CIF file:
```
data_YZn2CuMo
_chemical_formula_sum 'Y1 Zn2 Cu1 Mo1'
_space_group_name_H-M_alt 'P 1'
_space_group_IT_number 1
_space_group_name_Hall 'P 1'
_cell_length_a 4.707
_cell_length_b 5.103
_cell_length_c 5.103
_cell_angle_alpha 90.00
_cell_angle_beta 90.00
_cell_angle_gamma 90.00
loop_
_atom_site_label
_atom_site_fract_x
_atom_site_fract_y
_atom_site_fract_z
Mo1 0.500 0.000 0.000
Y1 0.000 0.000 0.000
Zn1 0.000 0.500 0.000
Zn2 0.000 0.000 0.500
Cu1 0.500 0.500 0.500
```

Calculated values
Raw total energy, eV per atom: -19.05
Energy relative to the elements, meV per atom: 1938

4.
First-principles (SCAN) data for a PBEsol-optimized structure of MgCo2Ir, as listed in Alexandria.

CIF file:
```
data_MgCo2Ir
_chemical_formula_sum 'Mg1 Co2 Ir1'
_space_group_name_H-M_alt 'P 1'
_space_group_IT_number 1
_space_group_name_Hall 'P 1'
_cell_length_a 4.160
_cell_length_b 4.160
_cell_length_c 4.160
_cell_angle_alpha 60.00
_cell_angle_beta 60.00
_cell_angle_gamma 60.00
loop_
_atom_site_label
_atom_site_fract_x
_atom_site_fract_y
_atom_site_fract_z
Mg1 0.750 0.750 0.750
Co1 0.250 0.250 0.250
Ir1 0.500 0.500 0.500
Co2 0.000 0.000 0.000
```

Calculated values
Raw total energy, eV per atom: -27.72
Energy relative to the elements, meV per atom: -51